No. 1
## TbPmEr6Tm2 (PBE)

Data for TbPmEr6Tm2 after structural relaxation.

Cell: 9.414 8.708 8.708 Å, 117.47 93.37 93.37°
Fractional coordinates of all 20 atoms:
Er (0.182, 0.565, 0.019)
Er (0.443, 0.247, 0.878)
Pm (0.250, 0.972, 0.028)
Er (0.818, 0.435, 0.981)
Tm (0.547, 0.198, 0.304)
Tb (0.750, 0.590, 0.410)
Pm (0.750, 0.028, 0.972)
Tb (0.250, 0.410, 0.590)
Er (0.943, 0.878, 0.247)
Er (0.318, 0.981, 0.435)
Er (0.557, 0.753, 0.122)
Tm (0.047, 0.304, 0.198)
Er (0.682, 0.019, 0.565)
Er (0.617, 0.490, 0.708)
Tm (0.953, 0.696, 0.802)
Er (0.057, 0.122, 0.753)
Er (0.883, 0.292, 0.510)
Er (0.117, 0.708, 0.490)
Tm (0.453, 0.802, 0.696)
Er (0.383, 0.510, 0.292)

Results
Energy of formation from the pure elements, eV per atom: 0.1235
Magnetization, μB/f.u.: 0.00
Theoretical density, Mg/m³: 8.683
Space-group type: C2/c, No. 15

***

No. 2
## Ta2BeAl (PBE)

Data for Ta2BeAl after structural relaxation.

Cell: 6.903 6.903 5.580 Å, 51.79 51.79 90.00°
Fractional coordinates of all 8 atoms:
Al (0.000, 0.000, 0.000)
Ta (0.375, 0.397, 0.750)
Al (0.750, 0.250, 0.500)
Ta (0.603, 0.125, 0.250)
Ta (0.875, 0.853, 0.750)
Be (0.250, 0.750, 0.500)
Be (0.500, 0.500, 0.000)
Ta (0.147, 0.625, 0.250)

Results
Energy of formation from the pure elements, eV per atom: 0.3702
Distance to the lowest polymorph of the same formula, kJ/mol of atoms: 52.8
Magnetization, μB/f.u.: 0.00
Theoretical density, Mg/m³: 10.257
Space-group type: I-42d, No. 122

***

The records above yield final energy values of -4.447; -7.423 eV per atom, respectively.